[1]
Material: LiAs2F8
Method: DFT, PBE
State: optimized geometry

* raw formation energy: -2098 meV per atom
* SG: C2/m (12)
* final energy: -49.3 eV per cell

Cell: 5.9009 5.9009 4.8571 Å, 97.79 97.79 78.98°
Atoms (fractional coordinates):
1 Li 0.0000 0.0000 0.0000
2 As 0.2724 0.2724 0.4872
3 As 0.7276 0.7276 0.5128
4 F 0.0091 0.6721 0.7167
5 F 0.1331 0.1331 0.7362
6 F 0.3279 0.9909 0.2833
7 F 0.4040 0.4040 0.2365
8 F 0.5960 0.5960 0.7635
9 F 0.6721 0.0091 0.7167
10 F 0.8669 0.8669 0.2638
11 F 0.9909 0.3279 0.2833

[2]
Material: Li3AsF
Method: DFT, PBE
State: optimized geometry

* raw formation energy: -1467 meV per atom
* energy above the most stable polymorph in this dataset: 0.000 eV/atom
* SG: C2/m (12)
* final energy: -39.2 eV per cell

Cell: 6.1858 6.1858 5.7805 Å, 93.45 93.45 42.20°
Atoms (fractional coordinates):
1 Li 0.0557 0.0557 0.3171
2 Li 0.1767 0.1767 0.9354
3 Li 0.3924 0.3924 0.3519
4 Li 0.6076 0.6076 0.6481
5 Li 0.8233 0.8233 0.0646
6 Li 0.9443 0.9443 0.6829
7 As 0.4035 0.4035 0.8763
8 As 0.5965 0.5965 0.1237
9 F 0.1089 0.1089 0.6328
10 F 0.8911 0.8911 0.3672

[3]
Material: LiAsF4
Method: DFT, PBE
State: optimized geometry

* raw formation energy: -2394 meV per atom
* SG: C2 (5)
* final energy: -56.8 eV per cell

Cell: 7.3006 6.0323 5.2639 Å, 90.00 120.33 90.00°
Atoms (fractional coordinates):
1 Li 0.0000 0.0000 0.0000
2 Li 0.5000 0.5000 0.0000
3 As 0.0000 0.6277 0.5000
4 As 0.5000 0.1277 0.5000
5 F 0.1160 0.8298 0.3671
6 F 0.2452 0.1732 0.1201
7 F 0.2548 0.6732 0.8799
8 F 0.3840 0.3298 0.6329
9 F 0.6160 0.3298 0.3671
10 F 0.7452 0.6732 0.1201
11 F 0.7548 0.1732 0.8799
12 F 0.8840 0.8298 0.6329

[4]
Material: LiAs2F2
Method: DFT, PBE
State: optimized geometry

* raw formation energy: -734 meV per atom
* energy above the most stable polymorph in this dataset: 0.204 eV/atom
* SG: P4/mbm (127)
* final energy: -37.3 eV per cell

Cell: 7.6195 7.6195 2.6473 Å, 90.00 90.00 90.00°
Atoms (fractional coordinates):
1 Li 0.0000 0.0000 0.0000
2 Li 0.5000 0.5000 0.0000
3 As 0.2232 0.2768 0.5000
4 As 0.2768 0.7768 0.5000
5 As 0.7232 0.2232 0.5000
6 As 0.7768 0.7232 0.5000
7 F 0.1170 0.6170 0.0000
8 F 0.3830 0.1170 0.0000
9 F 0.6170 0.8830 0.0000
10 F 0.8830 0.3830 0.0000

[5]
Material: LiAsF4
Method: DFT, PBE
State: optimized geometry

* raw formation energy: -2192 meV per atom
* SG: I-4 (82)
* final energy: -54.4 eV per cell

Cell: 5.6932 5.6932 6.0728 Å, 90.00 90.00 90.00°
Atoms (fractional coordinates):
1 Li 0.0000 0.0000 0.0000
2 Li 0.5000 0.5000 0.5000
3 As 0.0000 0.5000 0.7500
4 As 0.5000 0.0000 0.2500
5 F 0.1845 0.7452 0.8930
6 F 0.2452 0.3155 0.6070
7 F 0.2548 0.1845 0.1070
8 F 0.3155 0.7548 0.3930
9 F 0.6845 0.2452 0.3930
10 F 0.7452 0.8155 0.1070
11 F 0.7548 0.6845 0.6070
12 F 0.8155 0.2548 0.8930

[6]
Material: LiAs3F
Method: DFT, PBE
State: optimized geometry

* raw formation energy: 255 meV per atom
* energy above the most stable polymorph in this dataset: 0.186 eV/atom
* SG: Pm-3m (221)
* final energy: -16.5 eV per cell

Cell: 4.4756 4.4756 4.4756 Å, 90.00 90.00 90.00°
Atoms (fractional coordinates):
1 Li 0.0000 0.0000 0.0000
2 As 0.0000 0.0000 0.5000
3 As 0.0000 0.5000 0.0000
4 As 0.5000 0.0000 0.0000
5 F 0.5000 0.5000 0.5000

[7]
Material: LiAs2F2
Method: DFT, PBE
State: optimized geometry

* raw formation energy: -938 meV per atom
* energy above the most stable polymorph in this dataset: 0.000 eV/atom
* SG: I4/mmm (139)
* final energy: -39.3 eV per cell

Cell: 3.5467 3.5467 13.7062 Å, 90.00 90.00 90.00°
Atoms (fractional coordinates):
1 Li 0.0000 0.0000 0.0000
2 Li 0.5000 0.5000 0.5000
3 As 0.0000 0.5000 0.2500
4 As 0.0000 0.5000 0.7500
5 As 0.5000 0.0000 0.2500
6 As 0.5000 0.0000 0.7500
7 F 0.0000 0.0000 0.4043
8 F 0.0000 0.0000 0.5957
9 F 0.5000 0.5000 0.0957
10 F 0.5000 0.5000 0.9043

[8]
Material: Li8As2F
Method: DFT, PBE
State: optimized geometry

* raw formation energy: -901 meV per atom
* SG: C2/m (12)
* final energy: -36.4 eV per cell

Cell: 7.7827 7.7827 5.4894 Å, 101.74 101.74 31.90°
Atoms (fractional coordinates):
1 Li 0.0235 0.0235 0.2705
2 Li 0.2255 0.2255 0.1413
3 Li 0.3246 0.3246 0.5878
4 Li 0.4074 0.4074 0.1714
5 Li 0.5926 0.5926 0.8286
6 Li 0.6754 0.6754 0.4122
7 Li 0.7745 0.7745 0.8587
8 Li 0.9765 0.9765 0.7295
9 As 0.1553 0.1553 0.6639
10 As 0.8447 0.8447 0.3361
11 F 0.5000 0.5000 0.0000

[9]
Material: LiAs2F
Method: DFT, PBE
State: optimized geometry

* raw formation energy: -330 meV per atom
* energy above the most stable polymorph in this dataset: 0.491 eV/atom
* SG: Fm-3m (225)
* final energy: -57.6 eV per cell

Cell: 6.1911 6.1911 6.1911 Å, 90.00 90.00 90.00°
Atoms (fractional coordinates):
1 Li 0.0000 0.0000 0.0000
2 Li 0.0000 0.5000 0.5000
3 Li 0.5000 0.0000 0.5000
4 Li 0.5000 0.5000 0.0000
5 As 0.2500 0.2500 0.2500
6 As 0.2500 0.2500 0.7500
7 As 0.2500 0.7500 0.2500
8 As 0.2500 0.7500 0.7500
9 As 0.7500 0.2500 0.2500
10 As 0.7500 0.2500 0.7500
11 As 0.7500 0.7500 0.2500
12 As 0.7500 0.7500 0.7500
13 F 0.0000 0.0000 0.5000
14 F 0.0000 0.5000 0.0000
15 F 0.5000 0.0000 0.0000
16 F 0.5000 0.5000 0.5000

[10]
Material: Li4AsF
Method: DFT, PBE
State: optimized geometry

* raw formation energy: -1407 meV per atom
* SG: Cmc2_1 (36)
* final energy: -45.2 eV per cell

Cell: 7.1731 7.1731 5.4596 Å, 90.00 90.00 144.75°
Atoms (fractional coordinates):
1 Li 0.0337 0.9663 0.5000
2 Li 0.1791 0.8209 0.1040
3 Li 0.2030 0.7970 0.6087
4 Li 0.4258 0.5742 0.3407
5 Li 0.5742 0.4258 0.8407
6 Li 0.7970 0.2030 0.1087
7 Li 0.8209 0.1791 0.6040
8 Li 0.9663 0.0337 0.0000
9 As 0.3635 0.6365 0.8555
10 As 0.6365 0.3635 0.3555
11 F 0.0867 0.9133 0.8328
12 F 0.9133 0.0867 0.3328

[11]
Material: Li2MgAsF
Method: DFT, PBE
State: optimized geometry

* raw formation energy: -1474 meV per atom
* SG: P4/mmm (123)
* final energy: -19.3 eV per cell

Cell: 3.9910 3.9910 4.3879 Å, 90.00 90.00 90.00°
Atoms (fractional coordinates):
1 Li 0.0000 0.5000 0.0000
2 Li 0.5000 0.0000 0.0000
3 Mg 0.0000 0.0000 0.5000
4 As 0.5000 0.5000 0.5000
5 F 0.0000 0.0000 0.0000

[12]
Material: LiAsNF2
Method: DFT, PBE
State: optimized geometry

* raw formation energy: -547 meV per atom
* energy above the most stable polymorph in this dataset: 0.348 eV/atom
* SG: P4/mmm (123)
* final energy: -21.4 eV per cell

Cell: 3.4703 3.4703 4.3037 Å, 90.00 90.00 90.00°
Atoms (fractional coordinates):
1 Li 0.0000 0.0000 0.0000
2 As 0.5000 0.5000 0.5000
3 N 0.0000 0.0000 0.5000
4 F 0.0000 0.5000 0.0000
5 F 0.5000 0.0000 0.0000

final energy of number 3 (LiAsF4)?
-56.8 eV per cell